(1)
Density functional theory data (GGA-PBE) for a geometry-optimized PmNdEr structure.

The space group is I4mm (No. 107) and the conventional cell measures 3.619, 3.619 and 15.306 Å, with angles of 90.00, 90.00 and 90.00 degrees. The asymmetric unit holds Pm at (0.000, 0.000, 0.000), Nd at (0.000, 0.000, 0.329) and Er at (0.000, 0.000, 0.664).

For the relative energy among the computed polymorphs, the calculation gives 6 meV per atom. The raw total energy comes out at -4.671 eV per atom.


(2)
Density functional theory data (GGA-PBE) for a geometry-optimized Mn2RhSe structure.

The space group is Immm (No. 71) and the conventional cell measures 3.277, 4.475 and 8.224 Å, with angles of 90.00, 90.00 and 90.00 degrees. The asymmetric unit holds Mn at (0.000, 0.000, 0.241), Rh at (0.000, 0.500, 0.000) and Se at (0.000, 0.500, 0.500).

Its raw formation energy is 0.09 eV/atom. The raw total energy comes out at -7.207 eV per atom.


(3)
Density functional theory data (GGA-PBE) for a geometry-optimized Ce3US6 structure.

The space group is Fmmm (No. 69) and the conventional cell measures 8.309, 10.414 and 12.687 Å, with angles of 90.00, 90.00 and 90.00 degrees. The asymmetric unit holds Ce at (0.000, 0.000, 0.000), Ce at (0.250, 0.250, 0.250), U at (0.000, 0.000, 0.500), S at (0.000, 0.246, 0.500) and S at (0.241, 0.000, 0.364).

Its raw formation energy is -1.42 eV/atom. The raw total energy comes out at -6.806 eV per atom.


(4)
Density functional theory data (GGA-PBE) for a geometry-optimized BaY2Ti structure.

The space group is I-42d (No. 122) and the conventional cell measures 8.943, 8.943 and 6.827 Å, with angles of 90.00, 90.00 and 90.00 degrees. The asymmetric unit holds Ba at (0.000, 0.000, 0.000), Y at (0.210, 0.250, 0.625) and Ti at (0.000, 0.000, 0.500).

For the relative energy among the computed polymorphs, the calculation gives 215 meV per atom. The raw total energy comes out at -4.970 eV per atom.


(5)
Density functional theory data (GGA-PBE) for a geometry-optimized Sc2TiCo2 structure.

The space group is C2/c (No. 15) and the conventional cell measures 9.160, 5.233 and 7.130 Å, with angles of 90.00, 103.13 and 90.00 degrees. The asymmetric unit holds Sc at (0.147, 0.139, 0.147), Ti at (0.000, 0.379, 0.750) and Co at (0.140, 0.355, 0.499).

For the relative energy among the computed polymorphs, the calculation gives 1 meV per atom. The raw total energy comes out at -7.273 eV per atom.


(6)
Density functional theory data (GGA-PBE) for a geometry-optimized ZrRe2P structure.

The space group is F-43m (No. 216) and the conventional cell measures 6.347, 6.347 and 6.347 Å, with angles of 90.00, 90.00 and 90.00 degrees. The asymmetric unit holds Zr at (0.000, 0.000, 0.000), Re at (0.000, 0.000, 0.500), Re at (0.250, 0.250, 0.750) and P at (0.250, 0.250, 0.250).

The raw total energy comes out at -9.486 eV per atom.


(7)
Density functional theory data (GGA-PBE) for a geometry-optimized Tb2Er2SiIr4 structure.

The space group is I4/mmm (No. 139) and the conventional cell measures 6.400, 6.400 and 8.924 Å, with angles of 90.00, 90.00 and 90.00 degrees. The asymmetric unit holds Tb at (0.000, 0.000, 0.191), Er at (0.000, 0.500, 0.250), Si at (0.000, 0.000, 0.500) and Ir at (0.246, 0.246, 0.000).

Its raw formation energy is -0.54 eV/atom. The raw total energy comes out at -7.120 eV per atom.


(8)
Density functional theory data (GGA-PBE) for a geometry-optimized Li5Ca2Al5 structure.

The space group is Pmmm (No. 47) and the conventional cell measures 4.495, 5.568 and 9.510 Å, with angles of 90.00, 90.00 and 90.00 degrees. The asymmetric unit holds Li at (0.000, 0.000, 0.000), Li at (0.500, 0.000, 0.177), Li at (0.500, 0.500, 0.329), Ca at (0.500, 0.000, 0.500), Ca at (0.500, 0.500, 0.000), Al at (0.000, 0.250, 0.253) and Al at (0.000, 0.500, 0.500).

The raw total energy comes out at -2.853 eV per atom.


(9)
Density functional theory data (GGA-PBE) for a geometry-optimized In2TeS structure.

The space group is R3m (No. 160, hexagonal axes) and the conventional cell measures 4.1064, 4.1064 and 23.2534 Å, with angles of 90.00, 90.00 and 120.00 degrees. The asymmetric unit holds In at (0.0000, 0.0000, 0.0000), In at (0.0000, 0.0000, 0.1585), Te at (0.0000, 0.0000, 0.5872) and S at (0.0000, 0.0000, 0.3917).

Its raw formation energy is -0.27 eV/atom. For the relative energy among the computed polymorphs, the calculation gives 58 meV per atom. The raw total energy comes out at -3.459 eV per atom.


(10)
Density functional theory data (GGA-PBE) for a geometry-optimized AcInPt2Au structure.

The space group is Cmme (No. 67) and the conventional cell measures 5.879, 13.621 and 5.867 Å, with angles of 90.00, 90.00 and 90.00 degrees. The asymmetric unit holds Ac at (0.000, 0.250, 0.229), In at (0.250, 0.000, 0.500), Pt at (0.000, 0.153, 0.705) and Au at (0.000, 0.000, 0.000).

The raw total energy comes out at -5.121 eV per atom.


(11)
Density functional theory data (GGA-PBE) for a geometry-optimized SiW4 structure.

The space group is Im-3m (No. 229) and the conventional cell measures 5.656, 5.656 and 5.656 Å, with angles of 90.00, 90.00 and 90.00 degrees. The asymmetric unit holds Si at (0.000, 0.000, 0.000) and W at (0.250, 0.250, 0.250).

Its raw formation energy is 1.22 eV/atom. For the relative energy among the computed polymorphs, the calculation gives 1212 meV per atom. The raw total energy comes out at -10.226 eV per atom.


(12)
Density functional theory data (GGA-PBE) for a geometry-optimized RbNaCd structure.

The space group is F-43m (No. 216) and the conventional cell measures 8.393, 8.393 and 8.393 Å, with angles of 90.00, 90.00 and 90.00 degrees. The asymmetric unit holds Rb at (0.000, 0.000, 0.000), Na at (0.000, 0.000, 0.500) and Cd at (0.250, 0.250, 0.250).

For the relative energy among the computed polymorphs, the calculation gives 94 meV per atom. The raw total energy comes out at -0.997 eV per atom.


Number 1: V 33.402 Å³/atom. Number 2: V 15.077 Å³/atom. Number 3: V 27.445 Å³/atom. Number 4: V 34.130 Å³/atom. Number 5: V 16.640 Å³/atom. Number 6: V 15.981 Å³/atom. Number 7: V 20.307 Å³/atom. Number 8: V 19.834 Å³/atom. Number 9: V 28.298 Å³/atom. Number 10: V 23.493 Å³/atom. Number 11: V 18.092 Å³/atom. Number 12: V 49.261 Å³/atom.